Entry 1:
Compound: TlSbPb2
Source: Alexandria
Functional: meta-GGA SCAN
Structure: single point on PBEsol structure

CIF file:
```
data_TlSbPb2
_cell_length_a 4.967
_cell_length_b 4.967
_cell_length_c 9.328
_cell_angle_alpha 90.00
_cell_angle_beta 90.00
_cell_angle_gamma 90.00
_symmetry_space_group_name_H-M 'I 4/m m m'
_symmetry_Int_Tables_number 139
_symmetry_space_group_name_Hall '-I 4 2'
loop_
_atom_site_label
_atom_site_fract_x
_atom_site_fract_y
_atom_site_fract_z
_atom_site_occupancy
Tl1 0.000 0.000 0.000 1
Sb1 0.000 0.000 0.500 1
Pb1 0.000 0.500 0.250 1
```

Calculated values
Its energy relative to the lowest polymorph listed for this composition is 0.029 eV/atom. As for the density of states at the Fermi level: 0.454 states/eV/atom. The value obtained for the energy is -2.39785 Ha/atom. Its formation energy without anion corrections is 0.05 eV per atom.

Entry 2:
Compound: Li4Cr3Co3Sn2O16
Source: Alexandria
Functional: meta-GGA SCAN
Structure: single point on PBEsol structure

CIF file:
```
data_Li4Cr3Co3Sn2O16
_cell_length_a 9.885
_cell_length_b 5.747
_cell_length_c 9.523
_cell_angle_alpha 90.00
_cell_angle_beta 90.65
_cell_angle_gamma 90.00
_symmetry_space_group_name_H-M 'C 1 m 1'
_symmetry_Int_Tables_number 8
loop_
_symmetry_equiv_pos_as_xyz
'x,y,z'
'x,-y,z'
'x+1/2,y+1/2,z'
'x+1/2,-y+1/2,z'
loop_
_atom_site_label
_atom_site_fract_x
_atom_site_fract_y
_atom_site_fract_z
_atom_site_occupancy
Li1 0.000 0.000 0.000 1
Li2 0.002 0.000 0.498 1
Li3 0.164 0.500 0.903 1
Li4 0.331 0.000 0.396 1
Cr1 0.325 0.500 0.221 1
Cr2 0.413 0.242 0.721 1
Co1 0.084 0.254 0.220 1
Co2 0.169 0.000 0.720 1
Sn1 0.163 0.500 0.496 1
Sn2 0.330 0.000 0.001 1
O1 0.000 0.000 0.811 1
O2 0.001 0.000 0.310 1
O3 0.014 0.500 0.332 1
O4 0.077 0.237 0.609 1
O5 0.155 0.000 0.112 1
O6 0.161 0.500 0.114 1
O7 0.239 0.272 0.339 1
O8 0.254 0.225 0.839 1
O9 0.330 0.000 0.610 1
O10 0.340 0.500 0.608 1
O11 0.419 0.265 0.109 1
O12 0.483 0.000 0.842 1
```

Calculated values
As for the density of states at the Fermi level: 0.318 states/eV/atom. The value obtained for the energy is -0.45226 Ha/atom. Its formation energy without anion corrections is -2.01 eV per atom.